Entry 1:
Nd12Zn5Pt3 | Alexandria via LeMat-Bulk | PBE | optimized geometry; final energy = -4.154 eV per atom; total magnetization = 0.000 μB/atom; D(E_F) = 1.0795 states/eV/atom; space group = Ia-3d, No. 230; formation enthalpy at 0 K = -0.0691 eV/atom
1.0
-8.610 8.610 8.610
8.610 -8.610 8.610
8.610 8.610 -8.610
Nd Zn Pt
48 20 12
direct
0.059 0.229 0.132
0.059 0.330 0.927
0.073 0.632 0.403
0.073 0.941 0.670
0.097 0.729 0.670
0.097 0.868 0.427
0.132 0.059 0.229
0.132 0.573 0.903
0.170 0.229 0.597
0.170 0.441 0.573
0.229 0.132 0.059
0.229 0.597 0.170
0.271 0.330 0.903
0.271 0.441 0.368
0.330 0.903 0.271
0.330 0.927 0.059
0.368 0.271 0.441
0.368 0.597 0.927
0.403 0.073 0.632
0.403 0.830 0.771
0.427 0.097 0.868
0.427 0.830 0.559
0.441 0.368 0.271
0.441 0.573 0.170
0.559 0.427 0.830
0.559 0.632 0.729
0.573 0.170 0.441
0.573 0.903 0.132
0.597 0.170 0.229
0.597 0.927 0.368
0.632 0.403 0.073
0.632 0.729 0.559
0.670 0.073 0.941
0.670 0.097 0.729
0.729 0.559 0.632
0.729 0.670 0.097
0.771 0.403 0.830
0.771 0.868 0.941
0.830 0.559 0.427
0.830 0.771 0.403
0.868 0.427 0.097
0.868 0.941 0.771
0.903 0.132 0.573
0.903 0.271 0.330
0.927 0.059 0.330
0.927 0.368 0.597
0.941 0.670 0.073
0.941 0.771 0.868
0.000 0.000 0.000
0.000 0.000 0.500
0.000 0.500 0.000
0.000 0.500 0.500
0.125 0.750 0.875
0.125 0.875 0.250
0.250 0.125 0.875
0.250 0.625 0.375
0.375 0.250 0.625
0.375 0.625 0.750
0.500 0.000 0.000
0.500 0.000 0.500
0.500 0.500 0.000
0.500 0.500 0.500
0.625 0.375 0.250
0.625 0.750 0.375
0.750 0.375 0.625
0.750 0.875 0.125
0.875 0.125 0.750
0.875 0.250 0.125
0.125 0.250 0.375
0.125 0.375 0.750
0.250 0.375 0.125
0.250 0.875 0.625
0.375 0.125 0.250
0.375 0.750 0.125
0.625 0.250 0.875
0.625 0.875 0.750
0.750 0.125 0.375
0.750 0.625 0.875
0.875 0.625 0.250
0.875 0.750 0.625

***

Entry 2:
Fe2PbCl | Alexandria via LeMat-Bulk | PBE | optimized geometry; final energy = -4.998 eV per atom; total magnetization = 1.430 μB/atom; energy above the lowest structure with this stoichiometry = 12.87 kcal/mol of atoms; D(E_F) = 1.1055 states/eV/atom; space group = C2/m, No. 12; E_form (uncorrected) = 240 kJ/mol of formula units
1.0
2.911 -4.719 0.000
2.911 4.719 0.000
-1.762 0.000 2.764
Fe Pb Cl
2 1 1
direct
0.000 0.500 0.000
0.500 0.000 0.000
0.000 0.000 0.500
0.500 0.500 0.500

***

Entry 3:
Ba6AgHg2Rh | Alexandria via LeMat-Bulk | PBE | optimized geometry; final energy = -2.544 eV per atom; total magnetization = 0.000 μB/atom; D(E_F) = 0.7174 states/eV/atom; space group = P2_1/c, No. 14; formation enthalpy at 0 K = -0.3096 eV/atom
1.0
8.118 0.000 0.000
0.000 8.993 0.000
-7.786 0.000 12.042
Ba Ag Hg Rh
12 2 4 2
direct
0.101 0.036 0.239
0.101 0.464 0.739
0.226 0.698 0.066
0.226 0.802 0.566
0.374 0.171 0.062
0.374 0.329 0.562
0.626 0.671 0.438
0.626 0.829 0.938
0.774 0.198 0.434
0.774 0.302 0.934
0.899 0.536 0.261
0.899 0.964 0.761
0.500 0.000 0.500
0.500 0.500 0.000
0.303 0.110 0.754
0.303 0.390 0.254
0.697 0.610 0.746
0.697 0.890 0.246
0.000 0.000 0.000
0.000 0.500 0.500

***

Entry 4:
ScHgTeF2 | Alexandria via LeMat-Bulk | PBE | optimized geometry; final energy = -4.902 eV per atom; total magnetization = 0.000 μB/atom; D(E_F) = 0.2656 states/eV/atom; space group = P4/mmm, No. 123; E_form (uncorrected) = -1061 kJ/mol of formula units
1.0
4.217 0.000 0.000
0.000 4.217 0.000
0.000 0.000 5.932
Sc Hg Te F
1 1 1 2
direct
0.000 0.000 0.000
0.500 0.500 0.500
0.000 0.000 0.500
0.000 0.500 0.000
0.500 0.000 0.000

***

Entry 5:
Er6Tl5Ga | Alexandria via LeMat-Bulk | PBE | optimized geometry; final energy = -3.862 eV per atom; total magnetization = 0.000 μB/atom; energy above the lowest structure with this stoichiometry = 0.00 kcal/mol of atoms; D(E_F) = 0.7151 states/eV/atom; space group = C2/m, No. 12; formation enthalpy at 0 K = -0.3423 eV/atom
1.0
8.381 -3.695 0.000
8.381 3.695 0.000
-1.656 0.000 5.042
Er Tl Ga
6 5 1
direct
0.082 0.596 0.339
0.238 0.762 0.000
0.404 0.918 0.661
0.596 0.082 0.339
0.762 0.238 0.000
0.918 0.404 0.661
0.173 0.173 0.173
0.335 0.335 0.834
0.500 0.500 0.500
0.665 0.665 0.166
0.827 0.827 0.827
0.000 0.000 0.500

***

Entry 6:
Tb2Zn3Ru | Alexandria via LeMat-Bulk | PBE | optimized geometry; final energy = -3.858 eV per atom; total magnetization = 0.000 μB/atom; energy above the lowest structure with this stoichiometry = 5.54 kcal/mol of atoms; D(E_F) = 0.4621 states/eV/atom; space group = Immm, No. 71; formation enthalpy at 0 K = -0.1320 eV/atom
1.0
-2.388 2.663 4.922
2.388 -2.663 4.922
2.388 2.663 -4.922
Tb Zn Ru
2 3 1
direct
0.213 0.213 0.000
0.787 0.787 0.000
0.000 0.500 0.500
0.382 0.882 0.500
0.618 0.118 0.500
0.500 0.500 0.000

***

Entry 7:
Be4Co3 | Alexandria via LeMat-Bulk | PBE | optimized geometry; final energy = -5.018 eV per atom; total magnetization = 0.448 μB/atom; energy above the lowest structure with this stoichiometry = 10.97 kcal/mol of atoms; D(E_F) = 0.9282 states/eV/atom; space group = P6/mmm, No. 191; formation enthalpy at 0 K = 0.1562 eV/atom
1.0
4.492 0.000 0.000
-2.246 3.890 0.000
0.000 0.000 4.032
Be Co
4 3
direct
0.000 0.000 0.243
0.000 0.000 0.757
0.333 0.667 0.500
0.667 0.333 0.500
0.000 0.500 0.000
0.500 0.000 0.000
0.500 0.500 0.000

***

Entry 8:
VCo | Alexandria via LeMat-Bulk | PBE | optimized geometry; final energy = -8.179 eV per atom; total magnetization = 0.937 μB/atom; D(E_F) = 1.2525 states/eV/atom; space group = Pm-3m, No. 221; formation enthalpy at 0 K = -0.0672 eV/atom
1.0
2.898 0.000 0.000
0.000 2.898 0.000
0.000 0.000 2.898
V Co
1 1
direct
0.000 0.000 0.000
0.500 0.500 0.500

***

Entry 9:
ErTm4Ni2 | Alexandria via LeMat-Bulk | PBE | optimized geometry; final energy = -5.014 eV per atom; total magnetization = 0.000 μB/atom; energy above the lowest structure with this stoichiometry = 0.69 kcal/mol of atoms; D(E_F) = 0.9593 states/eV/atom; space group = R-3m, No. 166; formation enthalpy at 0 K = -0.1553 eV/atom
1.0
1.933 1.116 14.160
-1.933 1.116 14.160
0.000 -2.232 14.160
Er Tm Ni
1 4 2
direct
0.000 0.000 0.000
0.200 0.200 0.200
0.398 0.398 0.398
0.602 0.602 0.602
0.800 0.800 0.800
0.099 0.099 0.099
0.901 0.901 0.901

***

Entry 10:
ZnInSb3 | Alexandria via LeMat-Bulk | PBE | optimized geometry; final energy = -2.390 eV per atom; total magnetization = 0.000 μB/atom; energy above the lowest structure with this stoichiometry = 9.99 kcal/mol of atoms; D(E_F) = 1.0890 states/eV/atom; space group = Pm-3m, No. 221; E_form (uncorrected) = 427 kJ/mol of formula units
1.0
5.655 0.000 0.000
0.000 5.655 0.000
0.000 0.000 5.655
Zn In Sb
1 1 3
direct
0.000 0.000 0.000
0.500 0.500 0.500
0.000 0.500 0.500
0.500 0.000 0.500
0.500 0.500 0.000

***

Entry 11:
Mg4CoTe | Alexandria via LeMat-Bulk | PBE | optimized geometry; final energy = -2.417 eV per atom; total magnetization = 0.199 μB/atom; D(E_F) = 0.6473 states/eV/atom; space group = F-43m, No. 216; E_form (uncorrected) = 205 kJ/mol of formula units
1.0
0.000 4.015 4.015
4.015 0.000 4.015
4.015 4.015 0.000
Mg Co Te
4 1 1
direct
0.376 0.376 0.376
0.376 0.376 0.873
0.376 0.873 0.376
0.873 0.376 0.376
0.750 0.750 0.750
0.000 0.000 0.000

***

Entry 12:
YRuPb4 | Alexandria via LeMat-Bulk | PBE | optimized geometry; final energy = -4.512 eV per atom; total magnetization = 0.282 μB/atom; D(E_F) = 0.8761 states/eV/atom; space group = F-43m, No. 216; formation enthalpy at 0 K = 0.5837 eV/atom
1.0
0.000 4.432 4.432
4.432 0.000 4.432
4.432 4.432 0.000
Y Ru Pb
1 1 4
direct
0.000 0.000 0.000
0.250 0.250 0.250
0.125 0.625 0.625
0.625 0.125 0.625
0.625 0.625 0.125
0.625 0.625 0.625